1.
# Pm6HgGe3

An optimized crystal structure of Pm6HgGe3 (GGA-PBE, Alexandria via LeMat-Bulk).

Structure (extended XYZ):
```
20
Lattice="8.782 0.000 0.000 0.000 7.863 0.795 0.000 -0.980 7.842" Properties=species:S:1:pos:R:3 pbc="T T T"
Ge 7.890 4.598 3.397
Pm 1.383 0.499 6.663
Pm 1.304 2.212 2.776
Ge 3.499 2.286 5.240
Ge 3.501 6.055 7.575
Ge 3.501 0.850 1.044
Pm 5.696 2.212 2.776
Ge 7.892 0.828 1.062
Pm 3.500 3.035 8.214
Pm 3.500 -0.447 3.845
Pm 5.696 4.671 5.861
Pm 5.774 6.384 1.974
Pm 7.892 3.848 0.423
Hg 3.500 4.509 3.468
Pm 1.226 6.383 1.974
Hg 7.891 2.375 5.169
Ge 7.892 6.033 7.593
Pm 7.892 7.330 4.792
Pm 1.304 4.671 5.861
Pm 5.617 0.500 6.663
```

volume = 27.421 Å³/atom
formation energy = -652 meV per atom

=====

2.
# Pm8Hg3Ge4

An optimized crystal structure of Pm8Hg3Ge4 (GGA-PBE, Alexandria via LeMat-Bulk).

Structure (extended XYZ):
```
15
Lattice="8.195 -0.107 -0.153 -3.981 7.769 0.357 -3.981 -2.362 7.410" Properties=species:S:1:pos:R:3 pbc="T T T"
Hg 2.107 3.831 0.102
Ge -1.991 3.885 0.179
Ge 0.000 0.000 0.000
Pm 0.116 -0.006 5.657
Ge 4.097 -0.053 -0.077
Pm -3.981 0.045 5.735
Pm 6.199 1.115 1.602
Ge -1.991 -1.181 3.705
Pm -5.966 4.186 6.012
Pm -1.851 4.163 5.980
Pm 2.083 1.138 1.635
Pm -3.981 5.362 2.033
Hg 0.116 2.650 3.807
Hg 2.107 -1.234 3.629
Pm 0.116 5.307 1.958
```

volume = 31.303 Å³/atom
formation energy = -466 meV per atom

=====

3.
# Pm5Hg2Ge

An optimized crystal structure of Pm5Hg2Ge (GGA-PBE, Alexandria via LeMat-Bulk).

Structure (extended XYZ):
```
16
Lattice="5.207 0.000 0.000 0.000 6.814 0.000 0.000 0.000 12.963" Properties=species:S:1:pos:R:3 pbc="T T T"
Pm 0.000 1.042 10.172
Pm 0.000 2.365 3.691
Pm 2.603 2.361 7.760
Ge 0.000 3.407 6.482
Hg 2.603 0.689 4.506
Hg 2.603 2.718 10.988
Pm 2.603 5.768 11.685
Pm 0.000 4.448 9.272
Ge 0.000 0.000 0.000
Hg 2.603 4.095 1.975
Pm 2.603 1.046 1.278
Pm 0.000 3.407 0.000
Pm 0.000 0.000 6.482
Pm 0.000 5.772 2.791
Hg 2.603 6.125 8.457
Pm 2.603 4.453 5.203
```

volume = 28.744 Å³/atom
formation energy = -437 meV per atom

=====

4.
# Pm4HgGe

An optimized crystal structure of Pm4HgGe (GGA-PBE, Alexandria via LeMat-Bulk).

Structure (extended XYZ):
```
6
Lattice="5.105 0.000 -0.002 0.000 5.105 -0.003 0.003 0.005 7.308" Properties=species:S:1:pos:R:3 pbc="T T T"
Hg 2.563 2.543 7.292
Pm 2.560 5.092 1.857
Pm 0.007 2.540 1.859
Pm 0.010 2.543 5.419
Ge 0.008 5.095 3.638
Pm 2.562 5.096 5.417
```

volume = 31.744 Å³/atom
formation energy = -294 meV per atom

=====

5.
# Pm4HgGe3

An optimized crystal structure of Pm4HgGe3 (GGA-PBE, Alexandria via LeMat-Bulk).

Structure (extended XYZ):
```
8
Lattice="-2.696 0.951 -3.370 -0.140 -4.041 -1.029 -8.939 -1.411 6.755" Properties=species:S:1:pos:R:3 pbc="T T T"
Hg -2.127 -1.657 -1.663
Ge -5.285 -2.843 3.426
Ge -9.481 -0.808 4.461
Pm -7.036 -0.422 2.613
Pm -4.713 -2.065 0.291
Pm -1.302 -0.205 0.984
Ge -3.760 -0.593 2.841
Pm -7.724 -3.228 5.270
```

volume = 26.026 Å³/atom
formation energy = -732 meV per atom

=====

6.
# Pm6HgGe2

An optimized crystal structure of Pm6HgGe2 (GGA-PBE, Alexandria via LeMat-Bulk).

Structure (extended XYZ):
```
18
Lattice="-4.511 -2.642 -7.070 -2.641 -4.250 7.230 -1.329 8.572 1.440" Properties=species:S:1:pos:R:3 pbc="T T T"
Pm -3.417 -0.622 2.890
Ge -2.039 2.070 -1.965
Pm -2.159 2.265 1.068
Pm -2.241 5.649 2.480
Pm -3.697 0.813 -4.275
Pm -5.064 2.301 -1.289
Ge -3.801 3.859 -3.664
Hg -1.985 2.161 4.335
Pm -6.322 -0.586 0.533
Ge -4.425 4.603 0.472
Pm -6.241 -3.969 -0.879
Pm -4.128 4.409 5.369
Ge -4.056 -2.923 1.129
Pm -4.784 0.866 5.875
Hg 0.000 0.000 0.000
Pm -5.503 2.504 2.553
Pm -4.353 -2.730 -3.768
Pm -2.978 -0.825 -0.952
```

volume = 29.028 Å³/atom
formation energy = -518 meV per atom

=====

7.
# Pm2HgGe2

An optimized crystal structure of Pm2HgGe2 (GGA-PBE, Alexandria via LeMat-Bulk).

Structure (extended XYZ):
```
20
Lattice="-7.277 -1.844 0.219 1.702 -6.978 -2.192 0.848 -2.371 8.206" Properties=species:S:1:pos:R:3 pbc="T T T"
Pm -3.124 -8.164 2.454
Pm -3.548 -6.979 -1.650
Ge 0.412 -4.653 5.347
Hg 0.635 -1.777 6.152
Ge -4.094 -2.570 1.925
Pm -5.001 -4.935 3.580
Pm 0.274 -6.258 2.653
Pm -2.027 -1.843 -0.323
Pm -1.603 -3.029 3.780
Ge -5.140 -6.540 0.886
Ge -0.011 -3.468 1.244
Ge -3.670 -3.755 6.028
Pm -5.425 -3.749 -0.523
Hg -2.151 -6.190 5.171
Hg -2.576 -5.003 1.062
Hg 0.212 -0.594 2.055
Pm -0.150 -5.073 -1.450
Ge -0.634 -8.623 4.308
Ge -4.716 -7.725 4.989
Ge -1.058 -7.437 0.205
```

volume = 24.206 Å³/atom
formation energy = -712 meV per atom

=====

8.
# Pm3HgGe

An optimized crystal structure of Pm3HgGe (GGA-PBE, Alexandria via LeMat-Bulk).

Structure (extended XYZ):
```
10
Lattice="4.474 -0.001 0.000 0.002 7.367 0.000 0.000 0.000 9.239" Properties=species:S:1:pos:R:3 pbc="T T T"
Pm 1.118 0.061 3.040
Pm 3.357 7.304 6.199
Pm 3.357 5.524 0.698
Pm 3.356 3.744 6.199
Ge 1.119 1.841 5.549
Hg 3.356 1.841 1.449
Pm 1.119 3.622 3.040
Pm 1.119 1.841 8.541
Ge 3.357 5.524 3.690
Hg 1.120 5.525 7.789
```

volume = 30.449 Å³/atom
formation energy = -493 meV per atom

=====

Table of raw total energy (eV per atom), in record order: -4.9175 -4.2918 -4.0591 -4.2807 -4.8763 -4.7448 -4.5198 -4.3268